# 1
NaCa3, single point on PBEsol structure, DFT SCAN; total magnetization = 0.50 μB per cell; crystal system = tetragonal; total DFT energy (no corrections) = -8.225 eV per atom; volume = 157.9 Å³/cell
1.0
5.288 0.000 0.000
0.000 5.288 0.000
-2.644 -2.644 5.647
Na Ca
1 3
direct
0.000 0.000 0.000
0.750 0.250 0.500
0.250 0.750 0.500
0.500 0.500 0.000

***

# 2
NaCa3, single point on PBEsol structure, DFT SCAN; total magnetization = 0.22 μB per cell; crystal system = cubic; total DFT energy (no corrections) = -8.196 eV per atom; volume = 158.2 Å³/cell
1.0
6.071 0.000 0.000
3.036 5.258 0.000
3.036 1.753 4.957
Ca Na
3 1
direct
0.750 0.750 0.750
0.500 0.500 0.500
0.250 0.250 0.250
0.000 0.000 0.000

***

# 3
Na3Ca, single point on PBEsol structure, DFT SCAN; total magnetization = 0.11 μB per cell; crystal system = cubic; total DFT energy (no corrections) = -5.504 eV per atom; volume = 149.0 Å³/cell
1.0
5.302 0.000 0.000
0.000 5.302 0.000
0.000 0.000 5.302
Na Ca
3 1
direct
0.500 0.500 0.000
0.500 0.000 0.500
0.000 0.500 0.500
0.000 0.000 0.000

***

# 4
Na3Ca, single point on PBEsol structure, DFT SCAN; total magnetization = 0.03 μB per cell; crystal system = cubic; total DFT energy (no corrections) = -5.486 eV per atom; volume = 148.4 Å³/cell
1.0
-0.025 -4.975 3.251
5.124 -2.331 1.905
1.399 0.215 5.772
Na Ca
3 1
direct
0.500 0.500 0.500
0.250 0.250 0.250
0.750 0.750 0.750
0.000 0.000 0.000

***

# 5
NaCa9Ti9NbSi10O50, single point on PBEsol structure, DFT SCAN; total magnetization = 0.00 μB per cell; crystal system = triclinic; volume = 926.6 Å³/cell; formation energy without anion corrections = -3282.9 meV/atom
1.0
-2.333 0.920 4.837
5.208 -1.041 5.227
8.549 22.591 0.906
Si Ca O Ti Na Nb
10 9 50 9 1 1
direct
0.304 0.877 0.686
0.095 0.724 0.515
0.297 0.527 0.111
0.706 0.476 0.885
0.502 0.678 0.288
0.108 0.071 0.083
0.899 0.921 0.913
0.902 0.279 0.487
0.497 0.322 0.714
0.693 0.123 0.316
0.809 0.019 0.617
0.408 0.421 0.417
0.613 0.215 0.015
0.212 0.618 0.815
0.588 0.582 0.585
0.184 0.986 0.387
0.990 0.181 0.784
0.392 0.780 0.983
0.024 0.802 0.212
0.910 0.275 0.556
0.658 0.919 0.163
0.045 0.522 0.366
0.448 0.123 0.565
0.440 0.307 0.139
0.646 0.104 0.742
0.148 0.284 0.237
0.346 0.892 0.257
0.207 0.404 0.740
0.354 0.077 0.835
0.594 0.795 0.661
0.548 0.877 0.438
0.996 0.394 0.859
0.328 0.550 0.271
0.399 0.993 0.058
0.274 0.848 0.533
0.804 0.806 0.541
0.047 0.704 0.941
0.079 0.045 0.931
0.244 0.506 0.543
0.843 0.908 0.346
0.796 0.606 0.264
0.291 0.525 0.043
0.009 0.609 0.138
0.402 0.205 0.341
0.714 0.472 0.953
0.557 0.694 0.857
0.608 0.004 0.938
0.124 0.754 0.668
0.849 0.722 0.764
0.253 0.322 0.962
0.086 0.727 0.447
0.505 0.681 0.356
0.488 0.326 0.646
0.193 0.197 0.462
0.677 0.446 0.732
0.687 0.116 0.248
0.890 0.925 0.845
0.964 0.289 0.055
0.471 0.653 0.130
0.122 0.060 0.152
0.872 0.249 0.332
0.752 0.496 0.459
0.526 0.353 0.866
0.924 0.952 0.065
0.755 0.673 0.035
0.155 0.095 0.658
0.312 0.873 0.754
0.951 0.478 0.636
0.723 0.154 0.469
0.498 0.002 0.502
0.303 0.199 0.899
0.003 0.496 0.999
0.600 0.900 0.800
0.092 0.407 0.303
0.704 0.792 0.099
0.794 0.705 0.402
0.197 0.302 0.601
0.900 0.600 0.700
0.774 0.400 0.187
0.395 0.107 0.199

***

# 6
NaCaNbTe2, single point on PBEsol structure, DFT SCAN; total magnetization = 4.04 μB per cell; crystal system = tetragonal; volume = 149.1 Å³/cell; formation energy without anion corrections = 356.1 meV/atom
1.0
-3.047 2.226 -3.103
-4.196 -0.893 3.480
1.019 4.835 2.469
Ca Te Na Nb
1 2 1 1
direct
0.500 0.500 0.500
0.000 0.000 0.500
0.000 0.500 0.000
0.000 0.000 0.000
0.500 0.000 0.000